Material: Ir2SeO
Method: DFT, PBE
State: relaxed

The structure in POSCAR format:
```
Ir2SeO
1.0
0.310 2.505 3.378
0.554 4.151 -0.497
-3.125 2.671 0.938
Ir O Se
2 1 1
Direct
0.250 0.250 0.250 Ir
0.750 0.750 0.750 Ir
0.000 0.000 0.000 O
0.500 0.500 0.500 Se
```

Summary:
Polymorph energy (0 for the lowest one): 35.6 kJ/mol of atoms
Density of states at the Fermi level: 5.67 states/eV/cell
ΔE_f (raw): 0.61 eV per atom

Material: TbTlPb2Br8
Method: DFT, PBE
State: relaxed

The structure in POSCAR format:
```
TbTlPb2Br8
1.0
7.260 0.030 -0.005
0.077 6.891 -0.007
0.006 0.012 9.255
Tb Tl Pb Br
1 1 2 8
Direct
0.000 0.000 0.000 Tb
0.000 0.000 0.500 Tl
0.500 0.500 0.749 Pb
0.500 0.500 0.251 Pb
0.155 0.761 0.217 Br
0.681 0.761 0.000 Br
0.844 0.238 0.217 Br
0.845 0.239 0.783 Br
0.319 0.239 0.000 Br
0.156 0.762 0.783 Br
0.633 0.731 0.500 Br
0.367 0.269 0.500 Br
```

Summary:
Density of states at the Fermi level: 0.00 states/eV/cell
ΔE_f (raw): -1.21 eV per atom

Material: CePrAg
Method: DFT, PBE
State: relaxed

The structure in POSCAR format:
```
CePrAg
1.0
3.699 0.000 0.000
0.000 3.699 0.000
-1.850 -1.850 6.354
Pr Ag Ce
1 1 1
Direct
0.016 0.016 0.032 Pr
0.669 0.669 0.337 Ag
0.316 0.316 0.631 Ce
```

Summary:
Polymorph energy (0 for the lowest one): 4.3 kJ/mol of atoms
Density of states at the Fermi level: 6.81 states/eV/cell
Formation energy: -30.3 meV/atom

Material: Ge4C23
Method: DFT, PBE
State: relaxed

The structure in POSCAR format:
```
Ge4C23
1.0
-0.945 -7.318 -0.823
4.045 -1.209 6.108
-6.154 0.329 4.141
Ge C
8 46
Direct
0.000 0.000 0.000 Ge
0.500 0.500 0.500 Ge
0.250 0.500 0.000 Ge
0.750 0.500 0.000 Ge
0.500 0.000 0.250 Ge
0.500 0.000 0.750 Ge
0.000 0.250 0.500 Ge
0.000 0.750 0.500 Ge
0.250 0.000 0.500 C
0.750 0.000 0.500 C
0.000 0.500 0.250 C
0.000 0.500 0.750 C
0.500 0.250 0.000 C
0.500 0.750 0.000 C
0.815 0.815 0.815 C
0.815 0.185 0.185 C
0.185 0.815 0.185 C
0.185 0.185 0.815 C
0.685 0.685 0.685 C
0.685 0.315 0.315 C
0.315 0.685 0.315 C
0.315 0.315 0.685 C
0.185 0.185 0.185 C
0.185 0.815 0.815 C
0.815 0.185 0.815 C
0.815 0.815 0.185 C
0.315 0.315 0.315 C
0.315 0.685 0.685 C
0.685 0.315 0.685 C
0.685 0.685 0.315 C
0.000 0.731 0.225 C
0.000 0.269 0.775 C
0.000 0.731 0.775 C
0.000 0.269 0.225 C
0.731 0.225 0.000 C
0.731 0.775 0.000 C
0.269 0.225 0.000 C
0.269 0.775 0.000 C
0.225 0.000 0.731 C
0.225 0.000 0.269 C
0.775 0.000 0.269 C
0.775 0.000 0.731 C
0.769 0.500 0.275 C
0.769 0.500 0.725 C
0.231 0.500 0.725 C
0.231 0.500 0.275 C
0.500 0.275 0.769 C
0.500 0.725 0.231 C
0.500 0.275 0.231 C
0.500 0.725 0.769 C
0.275 0.769 0.500 C
0.275 0.231 0.500 C
0.725 0.769 0.500 C
0.725 0.231 0.500 C
```

Summary:
Density of states at the Fermi level: 7.59 states/eV/cell
Formation energy: 1248.8 meV/atom